VASP calculation (GGA-PBE) on a geometry-optimized BaPm2Tm structure.

abc: 3.6503 3.6503 39.0049
angles: 90.00 90.00 120.00
Closest atoms and distances in Å follow each position.
Element x y z (fractional)
Ba  0.0000  0.0000  0.0000  6 Ba 3.65, 2 Pm 3.68
Ba  0.3333  0.6667  0.6667  6 Ba 3.65, 2 Pm 3.68
Ba  0.6667  0.3333  0.3333  6 Ba 3.65, 2 Pm 3.68
Pm  0.0000  0.0000  0.0942  3 Tm 3.52, 6 Pm 3.65, 1 Ba 3.68
Pm  0.0000  0.0000  0.9058  3 Tm 3.52, 6 Pm 3.65, 1 Ba 3.68
Pm  0.3333  0.6667  0.5724  3 Tm 3.52, 6 Pm 3.65, 1 Ba 3.68
Pm  0.3333  0.6667  0.7609  3 Tm 3.52, 6 Pm 3.65, 1 Ba 3.68
Pm  0.6667  0.3333  0.2391  3 Tm 3.52, 6 Pm 3.65, 1 Ba 3.68
Pm  0.6667  0.3333  0.4276  3 Tm 3.52, 6 Pm 3.65, 1 Ba 3.68
Tm  0.0000  0.0000  0.5000  6 Pm 3.52, 6 Tm 3.65
Tm  0.3333  0.6667  0.1667  6 Pm 3.52, 6 Tm 3.65
Tm  0.6667  0.3333  0.8333  6 Pm 3.52, 6 Tm 3.65

## Properties
Energy of formation ... 205 meV per atom

---

VASP calculation (GGA-PBE) on a geometry-optimized PtSO structure.

abc: 5.9969 5.0987 6.0170
angles: 90.00 110.25 90.00
Closest atoms and distances in Å follow each position.
Element x y z (fractional)
Pt  0.2360  0.0096  0.2411  3 O 2.09-2.20, 2 S 2.31-2.32
Pt  0.2360  0.4904  0.7411  3 O 2.09-2.20, 2 S 2.31-2.32
Pt  0.7640  0.5096  0.2589  3 O 2.09-2.20, 2 S 2.31-2.32
Pt  0.7640  0.9904  0.7589  3 O 2.09-2.20, 2 S 2.31-2.32
S  0.3567  0.6116  0.1369  3 Pt 2.31-2.35
S  0.3567  0.8884  0.6369  3 Pt 2.31-2.35
S  0.6433  0.1116  0.3631  3 Pt 2.31-2.35
S  0.6433  0.3884  0.8631  3 Pt 2.31-2.35
O  0.1074  0.1488  0.8866  3 Pt 2.09-2.20
O  0.1074  0.3512  0.3866  3 Pt 2.09-2.20
O  0.8926  0.6488  0.6134  3 Pt 2.09-2.20
O  0.8926  0.8512  0.1134  3 Pt 2.09-2.20

## Properties
Raw total energy ... -5.304 eV/atom